This record from Alexandria describes crystalline LiMo3 at its relaxed geometry. The functional is PBEsol.

Values from the calculation:
Final energy   -9.0023 eV/atom
Energy relative to the elements   0.315 eV/atom
DOS(E_F)   0.71 states/eV/atom

```
data_LiMo3
_space_group_name_H-M_alt 'P 1 2/m 1'
_space_group_IT_number 10
_cell_length_a 2.594
_cell_length_b 4.420
_cell_length_c 5.189
_cell_angle_alpha 90.00
_cell_angle_beta 98.67
_cell_angle_gamma 90.00
loop_
_space_group_symop_operation_xyz
'x,y,z'
'-x,-y,-z'
'-x,y,-z'
'x,-y,z'
loop_
_atom_site_label
_atom_site_fract_x
_atom_site_fract_y
_atom_site_fract_z
_atom_site_occupancy
Li1 0.000 0.000 0.000 1
Mo1 0.237 0.500 0.748 1
Mo2 0.500 0.000 0.500 1
```

=====

This record from Alexandria describes crystalline LaCoO3 at its relaxed geometry. The functional is PBEsol.

Values from the calculation:
Raw formation energy   -52.88 kcal/mol of atoms
Final energy   -8.0592 eV/atom
DOS(E_F)   0.89 states/eV/atom

```
data_LaCoO3
_space_group_name_H-M_alt 'P n m a'
_space_group_IT_number 62
_cell_length_a 5.335
_cell_length_b 7.555
_cell_length_c 5.416
_cell_angle_alpha 90.00
_cell_angle_beta 90.00
_cell_angle_gamma 90.00
loop_
_space_group_symop_operation_xyz
'x,y,z'
'-x,-y,-z'
'-x+1/2,-y,z+1/2'
'x+1/2,y,-z+1/2'
'x+1/2,-y+1/2,-z+1/2'
'-x+1/2,y+1/2,z+1/2'
'-x,y+1/2,-z'
'x,-y+1/2,z'
loop_
_atom_site_label
_atom_site_fract_x
_atom_site_fract_y
_atom_site_fract_z
_atom_site_occupancy
La1 0.013 0.250 0.003 1
Co1 0.000 0.000 0.500 1
O1 0.004 0.750 0.439 1
O2 0.235 0.533 0.764 1
```

=====

This record from Alexandria describes crystalline BeHg2Cl at its relaxed geometry. The functional is PBEsol.

Values from the calculation:
Raw formation energy   8.53 kcal/mol of atoms
Final energy   -1.4157 eV/atom
DOS(E_F)   0.44 states/eV/atom

```
data_BeHg2Cl
_space_group_name_H-M_alt 'I -4 m 2'
_space_group_IT_number 119
_space_group_name_Hall 'I -4 -2'
_cell_length_a 3.837
_cell_length_b 3.837
_cell_length_c 11.318
_cell_angle_alpha 90.00
_cell_angle_beta 90.00
_cell_angle_gamma 90.00
loop_
_atom_site_label
_atom_site_fract_x
_atom_site_fract_y
_atom_site_fract_z
_atom_site_occupancy
Be1 0.000 0.000 0.000 1
Hg1 0.000 0.000 0.500 1
Hg2 0.000 0.500 0.750 1
Cl1 0.000 0.500 0.250 1
```

=====

Which formula does entry 3 have? BeHg2Cl